Density functional theory data (PBE-GGA) for crystalline PuNi6P4 at its relaxed geometry.

extended XYZ file:
```
11
Lattice="-5.647 -1.511 -0.520 2.186 0.159 5.444 1.375 5.536 -1.378" Properties=species:S:1:pos:R:3 pbc="T T T"
Pu 0.000 0.000 0.000
Ni 2.350 2.784 3.544
Ni 2.113 4.354 1.551
Ni -3.188 0.225 0.556
Ni -2.136 2.013 -0.949
Ni 0.200 2.517 1.960
Ni -1.731 -0.676 2.462
P 1.080 3.146 -0.021
P -1.694 1.614 1.473
P 1.424 0.859 2.880
P 0.664 4.262 3.279
```

Calculated values
- DFT formation energy: -574 meV per atom
- Space-group type: I-42m (121)
- N(E_F): 13.73 states/eV/f.u.
- M_tot: 5.69 μB per formula unit